DFT (PBE) results for a relaxed PaNbCo2 crystal.

* calculated formation energy: -0.106 eV per atom
* polymorph energy (0 for the lowest one): 0 meV/atom
* size of the total moment: 0.000 μB per atom
* Fermi-level density of states: 5.45 states/eV/f.u.

abc: 3.0680 3.0680 6.8420
angles: 90.00 90.00 90.00
Space group P4/mmm (No. 123)
One atom of each set of equivalent atoms:
Pa  0.0000  0.0000  0.0000 (multiplicity 1)
Nb  0.0000  0.0000  0.5000 (multiplicity 1)
Co  0.5000  0.5000  0.2920 (multiplicity 2)

---

DFT (PBE) results for a relaxed PaNbCo crystal.

* calculated formation energy: 0.003 eV per atom
* size of the total moment: 0.053 μB per atom
* Fermi-level density of states: 4.51 states/eV/f.u.

abc: 3.0244 3.0244 11.8252
angles: 90.00 90.00 90.00
Space group I4mm (No. 107)
One atom of each set of equivalent atoms:
Pa  0.0000  0.0000  0.0000 (multiplicity 2)
Nb  0.0000  0.0000  0.2963 (multiplicity 2)
Co  0.0000  0.0000  0.6715 (multiplicity 2)

---

DFT (PBE) results for a relaxed Pa2NbCo crystal.

* calculated formation energy: 0.375 eV per atom
* size of the total moment: 0.000 μB per atom
* Fermi-level density of states: 6.57 states/eV/f.u.

abc: 3.0500 3.0500 30.1244
angles: 90.00 90.00 120.00
Space group R-3m (No. 166, hexagonal axes)
One atom of each set of equivalent atoms:
Pa  0.0000  0.0000  0.0948 (multiplicity 6)
Nb  0.0000  0.0000  0.0000 (multiplicity 3)
Co  0.0000  0.0000  0.5000 (multiplicity 3)

---

DFT (PBE) results for a relaxed PaNb2Co9 crystal.

* calculated formation energy: -0.189 eV per atom
* size of the total moment: 0.000 μB per atom
* Fermi-level density of states: 15.62 states/eV/f.u.

abc: 4.7658 4.7658 23.4672
angles: 90.00 90.00 120.00
Space group R-3m (No. 166, hexagonal axes)
One atom of each set of equivalent atoms:
Pa  0.0000  0.0000  0.0000 (multiplicity 3)
Nb  0.0000  0.0000  0.1408 (multiplicity 6)
Co  0.0000  0.0000  0.3339 (multiplicity 6)
Co  0.0000  0.0000  0.5000 (multiplicity 3)
Co  0.0040  0.5020  0.9141 (multiplicity 18)

---

DFT (PBE) results for a relaxed Pa2NbCoS5 crystal.

* formation energy (no corrections): -1276 meV/atom
* size of the total moment: 0.000 μB per atom
* Fermi-level density of states: 9.68 states/eV/f.u.

abc: 3.6629 15.5039 11.3101
angles: 90.00 90.00 90.00
Space group Cmc2_1 (No. 36)
One atom of each set of equivalent atoms:
Pa  0.0000  0.1130  0.0000 (multiplicity 4)
Pa  0.0000  0.1208  0.3547 (multiplicity 4)
Nb  0.0000  0.1807  0.6708 (multiplicity 4)
Co  0.0000  0.4371  0.0800 (multiplicity 4)
S  0.0000  0.0181  0.6759 (multiplicity 4)
S  0.0000  0.3050  0.0170 (multiplicity 4)
S  0.0000  0.3058  0.3313 (multiplicity 4)
S  0.0000  0.3456  0.6754 (multiplicity 4)
S  0.0000  0.4975  0.4108 (multiplicity 4)

---

DFT (PBE) results for a relaxed Pa2NbCo3Si4 crystal.

* formation energy (no corrections): -656 meV/atom
* size of the total moment: 0.143 μB per atom
* Fermi-level density of states: 8.90 states/eV/f.u.

abc: 3.9353 3.9353 10.2111
angles: 90.00 90.00 90.00
Space group P-4m2 (No. 115)
One atom of each set of equivalent atoms:
Pa  0.0000  0.5000  0.2304 (multiplicity 2)
Nb  0.0000  0.0000  0.5000 (multiplicity 1)
Co  0.0000  0.5000  0.8791 (multiplicity 2)
Co  0.5000  0.5000  0.5000 (multiplicity 1)
Si  0.0000  0.0000  0.0000 (multiplicity 1)
Si  0.0000  0.5000  0.6563 (multiplicity 2)
Si  0.5000  0.5000  0.0000 (multiplicity 1)

---

DFT (PBE) results for a relaxed NbCoPb crystal.

* calculated formation energy: 0.317 eV per atom
* size of the total moment: 0.000 μB per atom
* Fermi-level density of states: 1.82 states/eV/f.u.

abc: 12.1275 3.3813 5.8220
angles: 90.00 99.88 90.00
Space group Cm (No. 8)
One atom of each set of equivalent atoms:
Nb  0.0000  0.0000  0.0000 (multiplicity 2)
Nb  0.0307  0.5000  0.5371 (multiplicity 2)
Co  0.1295  0.0000  0.3622 (multiplicity 2)
Co  0.1313  0.5000  0.9647 (multiplicity 2)
Pb  0.2869  0.5000  0.6392 (multiplicity 2)
Pb  0.3124  0.0000  0.1538 (multiplicity 2)

---

DFT (PBE) results for a relaxed NbCoPb crystal.

* calculated formation energy: 0.278 eV per atom
* size of the total moment: 0.000 μB per atom
* Fermi-level density of states: 2.75 states/eV/f.u.

abc: 10.1542 3.8522 7.2077
angles: 90.00 128.48 90.00
Space group Cm (No. 8)
One atom of each set of equivalent atoms:
Nb  0.0000  0.0000  0.0000 (multiplicity 2)
Nb  0.0907  0.5000  0.6768 (multiplicity 2)
Co  0.0377  0.5000  0.2461 (multiplicity 2)
Co  0.2335  0.0000  0.9240 (multiplicity 2)
Pb  0.2664  0.0000  0.5754 (multiplicity 2)
Pb  0.3245  0.5000  0.2464 (multiplicity 2)

---

no.,E_tot (eV/atom)
1,-8.55
2,-8.89
3,-8.67
4,-7.99
5,-7.59
6,-7.86
7,-6.64
8,-6.68